Record 1
This record from Alexandria via LeMat-Bulk describes K5Cr4 after structural relaxation. The functional is PBE.

Output
The calculation puts the total moment at 41.4 μB/cell. The value obtained for the formation enthalpy at 0 K is 1151 meV/atom. The energy above the most stable polymorph in this dataset comes out at 99.7 meV/atom. The electronic total energy comes out at -67.2 eV/cell.

Cell and atoms, written as CIF:
```
data_K5Cr4
_chemical_formula_sum 'K10 Cr8'
_symmetry_space_group_name_H-M 'P 63/m c m'
_symmetry_Int_Tables_number 193
_symmetry_space_group_name_Hall '-P 6c 2'
_cell_length_a 10.9196
_cell_length_b 10.9196
_cell_length_c 7.1842
_cell_angle_alpha 90.00
_cell_angle_beta 90.00
_cell_angle_gamma 120.00
loop_
_atom_site_label
_atom_site_type_symbol
_atom_site_fract_x
_atom_site_fract_y
_atom_site_fract_z
K1 K 0.0000 0.2830 0.2500
K2 K 0.3333 0.6667 0.0000
Cr1 Cr 0.0000 0.0000 0.0000
Cr2 Cr 0.0000 0.3806 0.7500
```

***

Record 2
This record from Alexandria via LeMat-Bulk describes La2ZnCuPb after structural relaxation. The functional is PBE.

Output
The calculation puts the total moment at 0.0 μB/cell. The value obtained for the formation enthalpy at 0 K is -205 meV/atom. The electronic total energy comes out at -20.0 eV/cell.

Cell and atoms, written as CIF:
```
data_La2ZnCuPb
_chemical_formula_sum 'La2 Zn1 Cu1 Pb1'
_symmetry_space_group_name_H-M 'P 4/m m m'
_symmetry_Int_Tables_number 123
_symmetry_space_group_name_Hall '-P 4 2'
_cell_length_a 5.558
_cell_length_b 5.558
_cell_length_c 4.660
_cell_angle_alpha 90.00
_cell_angle_beta 90.00
_cell_angle_gamma 90.00
loop_
_atom_site_label
_atom_site_type_symbol
_atom_site_fract_x
_atom_site_fract_y
_atom_site_fract_z
La1 La 0.000 0.500 0.000
Zn1 Zn 0.000 0.000 0.500
Cu1 Cu 0.000 0.000 0.000
Pb1 Pb 0.500 0.500 0.500
```